Entry 1:
# Sr3AgOs

A relaxed structure of Sr3AgOs (GGA-PBE, the Alexandria database).

Unit cell a=5.762 b=5.762 c=5.762 alpha=90.00 beta=90.00 gamma=90.00
Sites, in units of the cell vectors:
Sr 0.000 0.500 0.000
Sr 0.000 0.000 0.500
Sr 0.500 0.000 0.000
Os 0.000 0.000 0.000
Ag 0.500 0.500 0.500

Summary:
energy above the most stable polymorph in this dataset = 0.000 eV/atom
electronic total energy = -16.883 eV per cell
total magnetization = 0.00 μB/cell
energy of formation from the pure elements = 0.45 eV per atom


Entry 2:
# Sr2AgOs

A relaxed structure of Sr2AgOs (GGA-PBE, the Alexandria database).

Unit cell a=9.517 b=9.517 c=9.517 alpha=22.71 beta=22.71 gamma=22.71
Last column: magnetic moment on the atom in μB.
Sites, in units of the cell vectors:
Ag 0.250 0.250 0.250  0.00
Os 0.750 0.750 0.750  0.33
Sr 0.008 0.008 0.008  -0.01
Sr 0.492 0.492 0.492  -0.01

Summary:
electronic total energy = -14.756 eV per cell
total magnetization = 0.31 μB/cell
energy of formation from the pure elements = 0.67 eV per atom


Entry 3:
# SrAgOs2

A relaxed structure of SrAgOs2 (GGA-PBE, the Alexandria database).

Unit cell a=10.498 b=10.498 c=10.498 alpha=15.39 beta=15.39 gamma=15.39
Last column: magnetic moment on the atom in μB.
Sites, in units of the cell vectors:
Ag 0.750 0.750 0.750  0.00
Os 0.006 0.006 0.006  0.13
Os 0.494 0.494 0.494  0.13
Sr 0.250 0.250 0.250  0.00

Summary:
energy above the most stable polymorph in this dataset = 0.599 eV/atom
electronic total energy = -22.718 eV per cell
total magnetization = 0.27 μB/cell
energy of formation from the pure elements = 1.07 eV per atom


Entry 4:
# Sr2AgOs

A relaxed structure of Sr2AgOs (GGA-PBE, the Alexandria database).

Unit cell a=3.631 b=3.520 c=8.970 alpha=66.93 beta=90.00 gamma=90.00
Sites, in units of the cell vectors:
Ag 0.500 0.250 0.250
Os 0.500 0.750 0.750
Sr 0.000 0.027 0.973
Sr 0.000 0.473 0.527

Summary:
electronic total energy = -15.762 eV per cell
total magnetization = 0.00 μB/cell
energy of formation from the pure elements = 0.42 eV per atom


Entry 5:
# SrAgOs2

A relaxed structure of SrAgOs2 (GGA-PBE, the Alexandria database).

Unit cell a=5.612 b=5.612 c=5.089 alpha=74.15 beta=74.15 gamma=30.19
Sites, in units of the cell vectors:
Ag 0.250 0.250 0.250
Os 0.980 0.980 0.061
Os 0.520 0.520 0.439
Sr 0.750 0.750 0.750

Summary:
energy above the most stable polymorph in this dataset = 0.382 eV/atom
electronic total energy = -23.586 eV per cell
total magnetization = 0.00 μB/cell
energy of formation from the pure elements = 0.85 eV per atom


Entry 6:
# Sr2AgOs

A relaxed structure of Sr2AgOs (GGA-PBE, the Alexandria database).

Unit cell a=6.174 b=6.174 c=9.302 alpha=70.62 beta=70.62 gamma=90.00
Last column: magnetic moment on the atom in μB.
Sites, in units of the cell vectors:
Sr 0.667 0.125 0.250  -0.01
Sr 0.083 0.625 0.250  -0.01
Sr 0.375 0.333 0.750  -0.01
Sr 0.875 0.917 0.750  -0.01
Os 0.000 0.000 0.000  1.09
Os 0.750 0.250 0.500  1.09
Ag 0.500 0.500 0.000  0.00
Ag 0.250 0.750 0.500  0.00

Summary:
electronic total energy = -25.741 eV per cell
total magnetization = 2.02 μB/cell
energy of formation from the pure elements = 1.14 eV per atom


Entry 7:
# SrAgOs2

A relaxed structure of SrAgOs2 (GGA-PBE, the Alexandria database).

Unit cell a=4.727 b=4.727 c=4.727 alpha=120.06 beta=120.06 gamma=89.90
Sites, in units of the cell vectors:
Ag 0.750 0.250 0.500
Os 0.000 0.000 0.000
Os 0.250 0.750 0.500
Sr 0.500 0.500 0.000

Summary:
energy above the most stable polymorph in this dataset = 0.535 eV/atom
electronic total energy = -22.971 eV per cell
total magnetization = 0.00 μB/cell
energy of formation from the pure elements = 1.01 eV per atom


Entry 8:
# SrAgOs4

A relaxed structure of SrAgOs4 (GGA-PBE, the Alexandria database).

Unit cell a=5.345 b=5.345 c=5.345 alpha=60.00 beta=60.00 gamma=60.00
Sites, in units of the cell vectors:
Sr 0.750 0.750 0.750
Ag 0.000 0.000 0.000
Os 0.877 0.374 0.374
Os 0.374 0.374 0.877
Os 0.374 0.877 0.374
Os 0.374 0.374 0.374

Summary:
electronic total energy = -45.337 eV per cell
total magnetization = 0.18 μB/cell
energy of formation from the pure elements = 0.69 eV per atom